NaTa2B | PBE | relaxed

Calculated values
energy relative to the elements = 1388 meV/atom
E_tot = -104.60 eV for the cell shown

abc: 5.696 5.696 11.658
angles: 90.00 90.00 90.00
Space group I-42d (No. 122)
One atom of each set of equivalent atoms:
Na: 0.000 0.000 0.000 (multiplicity 4)
Ta: 0.081 0.250 0.625 (multiplicity 8)
B: 0.000 0.000 0.500 (multiplicity 4)